This record from Alexandria describes crystalline Cr2CdIn at its relaxed geometry. The functional is PBE-GGA.

D(E_F): 4.408 states/eV/f.u.
energy of formation: 584.6 meV per atom
E: -0.3778 Ry/atom
space group: P2/m

a = 4.927 Å, b = 3.116 Å, c = 5.430 Å
α = 90.00°, β = 111.77°, γ = 90.00°
Fractional coordinates of all 4 atoms:
Cr1 0.000 0.000 0.000
Cr2 0.000 0.500 0.500
Cd1 0.500 0.000 0.500
In1 0.500 0.500 0.000